CaTa3P | PBE-GGA | relaxed

CIF file:
```
data_CaTa3P
_chemical_formula_sum 'Ca1 Ta3 P1'
_cell_length_a 4.7350
_cell_length_b 4.7350
_cell_length_c 4.7350
_cell_angle_alpha 90.00
_cell_angle_beta 90.00
_cell_angle_gamma 90.00
_symmetry_space_group_name_H-M 'P m -3 m'
_symmetry_Int_Tables_number 221
_symmetry_space_group_name_Hall '-P 4 2 3'
loop_
_atom_site_label
_atom_site_type_symbol
_atom_site_fract_x
_atom_site_fract_y
_atom_site_fract_z
Ca1 Ca 0.0000 0.0000 0.0000
Ta1 Ta 0.0000 0.0000 0.5000
P1 P 0.5000 0.5000 0.5000
```

As for the energy relative to the lowest polymorph listed for this composition: 1153 kJ/mol of formula units. The volume comes out at 21.23 Å³ per atom. The energy of formation from the pure elements comes out at 2.75 eV/atom.